Density functional theory data (PBE) for Cs2MgSe after structural relaxation.

Computed properties:
E_tot: -2.157 eV/atom
V: 64.987 Å³/atom
spin magnetization: 1.23 Bohr magnetons per cell
relative energy among the computed polymorphs: 0.00 eV per formula unit
SG: I-42d (122)
energy relative to the elements, uncorrected: -461 meV/atom
mass density: 2358 kg/m³

Geometry as CIF:
```
data_Cs2MgSe
_cell_length_a 10.249
_cell_length_b 10.249
_cell_length_c 10.249
_cell_angle_alpha 93.84
_cell_angle_beta 93.84
_cell_angle_gamma 150.01
_symmetry_space_group_name_H-M 'P 1'
_symmetry_Int_Tables_number 1
loop_
_symmetry_equiv_pos_as_xyz
'x,y,z'
loop_
_atom_site_label
_atom_site_type_symbol
_atom_site_fract_x
_atom_site_fract_y
_atom_site_fract_z
Cs1 Cs 0.061 0.375 0.186
Cs2 Cs 0.189 0.875 0.814
Cs3 Cs 0.125 0.939 0.314
Cs4 Cs 0.625 0.811 0.686
Mg1 Mg 0.500 0.500 0.000
Mg2 Mg 0.750 0.250 0.500
Se1 Se 0.000 0.000 0.000
Se2 Se 0.250 0.750 0.500
```

Density functional theory data (PBE) for SrCoIr2 after structural relaxation.

Computed properties:
E_tot: -6.345 eV/atom
V: 16.861 Å³/atom
spin magnetization: 0.67 Bohr magnetons per cell
relative energy among the computed polymorphs: 1.42 eV per formula unit
calculated formation energy: 283 meV per atom
SG: P4/mmm (123)
mass density: 13073 kg/m³

Geometry as CIF:
```
data_SrCoIr2
_cell_length_a 2.929
_cell_length_b 2.929
_cell_length_c 7.860
_cell_angle_alpha 90.00
_cell_angle_beta 90.00
_cell_angle_gamma 90.00
_symmetry_space_group_name_H-M 'P 1'
_symmetry_Int_Tables_number 1
loop_
_symmetry_equiv_pos_as_xyz
'x,y,z'
loop_
_atom_site_label
_atom_site_type_symbol
_atom_site_fract_x
_atom_site_fract_y
_atom_site_fract_z
Co1 Co 0.500 0.500 0.750
Ir1 Ir 0.000 0.000 0.938
Ir2 Ir 0.000 0.000 0.562
Sr1 Sr 0.500 0.500 0.250
```

Density functional theory data (PBE) for Rb3Zn2S4 after structural relaxation.

Computed properties:
E_tot: -3.296 eV/atom
V: 28.790 Å³/atom
spin magnetization: 1.02 Bohr magnetons per cell
SG: P-1 (2)
energy relative to the elements, uncorrected: -856 meV/atom
mass density: 3304 kg/m³

Geometry as CIF:
```
data_Rb3Zn2S4
_cell_length_a 4.160
_cell_length_b 8.086
_cell_length_c 8.910
_cell_angle_alpha 116.42
_cell_angle_beta 103.51
_cell_angle_gamma 89.99
_symmetry_space_group_name_H-M 'P 1'
_symmetry_Int_Tables_number 1
loop_
_symmetry_equiv_pos_as_xyz
'x,y,z'
loop_
_atom_site_label
_atom_site_type_symbol
_atom_site_fract_x
_atom_site_fract_y
_atom_site_fract_z
Rb1 Rb 0.130 0.546 0.259
Rb2 Rb 0.870 0.454 0.741
Rb3 Rb 0.000 0.000 0.000
Zn1 Zn 0.672 0.951 0.345
Zn2 Zn 0.328 0.049 0.655
S1 S 0.531 0.720 0.061
S2 S 0.212 0.139 0.424
S3 S 0.469 0.280 0.939
S4 S 0.788 0.861 0.576
```